No. 1
Hf2Be2Cd: optimized geometry, PBE.

The structure in POSCAR format:
```
Hf2Be2Cd
1.0
6.4681 0.0000 0.0000
0.0000 6.4681 0.0000
0.0000 0.0000 3.8453
Be Hf Cd
4 4 2
Direct
0.1205 0.3795 0.0000
0.6205 0.1205 0.0000
0.3795 0.8795 0.0000
0.8795 0.6205 0.0000
0.3327 0.1673 0.5000
0.8327 0.3327 0.5000
0.6673 0.8327 0.5000
0.1673 0.6673 0.5000
0.5000 0.5000 0.0000
0.0000 0.0000 0.0000
```

Values from the calculation:
DFT formation energy = -143 meV per atom
relative energy among the computed polymorphs = 0.3 kJ/mol of atoms

=====

No. 2
HfTlPO2: optimized geometry, PBE.

The structure in POSCAR format:
```
HfTlPO2
1.0
-1.1196 3.1070 2.3243
1.4907 -1.8891 3.2432
4.9431 2.4244 -0.8598
P O Tl Hf
1 2 1 1
Direct
0.0000 0.0000 0.5000
0.0000 0.5000 0.0000
0.5000 0.0000 0.0000
0.5000 0.5000 0.5000
0.0000 0.0000 0.0000
```

Values from the calculation:
relative energy among the computed polymorphs = 0.0 kJ/mol of atoms

=====

No. 3
PrNd2DyEr4: optimized geometry, PBE.

The structure in POSCAR format:
```
PrNd2DyEr4
1.0
9.3591 -0.0035 -1.7354
-0.0101 9.3591 -1.7355
-5.9793 -5.9835 8.3185
Dy Nd Er Pr
2 4 8 2
Direct
0.5000 0.5000 0.5000
0.0000 0.0000 0.0000
0.5000 0.5000 0.0000
0.5000 0.0000 0.0000
0.0000 0.0000 0.5000
0.5000 0.0000 0.5000
0.2500 0.2500 0.0040
0.7500 0.7500 0.5040
0.2457 0.7542 0.0000
0.2500 0.2500 0.4960
0.2542 0.7457 0.5000
0.7543 0.2458 0.0000
0.7458 0.2543 0.5000
0.7500 0.7500 0.9960
0.0000 0.5000 0.5000
0.0000 0.5000 0.0000
```

Values from the calculation:
DFT formation energy = 415 meV per atom

=====

No. 4
Pr2TmHf: optimized geometry, PBE.

The structure in POSCAR format:
```
Pr2TmHf
1.0
4.0618 0.0000 0.0000
0.0000 4.0618 0.0000
0.0000 0.0000 7.3469
Pr Tm Hf
2 1 1
Direct
0.0000 0.0000 0.2269
0.0000 0.0000 0.7731
0.5000 0.5000 0.5000
0.5000 0.5000 0.0000
```

Values from the calculation:
DFT formation energy = 217 meV per atom
relative energy among the computed polymorphs = 3.4 kJ/mol of atoms

=====

No. 5
CrCuRe4: optimized geometry, PBE.

The structure in POSCAR format:
```
CrCuRe4
1.0
1.8975 0.3023 4.7550
-0.5300 4.3266 2.7021
-3.1760 0.1371 4.0244
Re Cu Cr
4 1 1
Direct
0.3744 0.3744 0.8767
0.3744 0.3744 0.3744
0.8767 0.3744 0.3744
0.3744 0.8767 0.3744
0.0000 0.0000 0.0000
0.7500 0.7500 0.7500
```

Values from the calculation:
DFT formation energy = 580 meV per atom

=====

What did the second record say?
HfTlPO2: optimized geometry, PBE.

The structure in POSCAR format:
```
HfTlPO2
1.0
-1.1196 3.1070 2.3243
1.4907 -1.8891 3.2432
4.9431 2.4244 -0.8598
P O Tl Hf
1 2 1 1
Direct
0.0000 0.0000 0.5000
0.0000 0.5000 0.0000
0.5000 0.0000 0.0000
0.5000 0.5000 0.5000
0.0000 0.0000 0.0000
```

Values from the calculation:
relative energy among the computed polymorphs = 0.0 kJ/mol of atoms